Entry from Alexandria via LeMat-Bulk: crystalline Re2NiAuF at its relaxed geometry (PBE with a Hubbard U).

For the volume, the calculation gives 124 Å³ per cell. Its density of states at the Fermi level is 5.9 states/eV/f.u. Its total energy is -4.009 eV per atom.

It has space group P4/mmm (No. 123), with a = 5.126 Å, b = 5.126 Å, c = 4.723 Å, α = 90.00°, β = 90.00° and γ = 90.00°. The asymmetric unit holds Re at (0.000, 0.500, 0.000), Ni at (0.000, 0.000, 0.500), Au at (0.000, 0.000, 0.000) and F at (0.500, 0.500, 0.500).